No. 1
The following is a DFT calculation (PBE) of an optimized crystal structure of Tb2SmTh2.

Cell lengths 3.5873, 3.5873, 14.7130 Å; angles 83.00, 83.00, 60.00 degrees
Closest atoms and distances in Å follow each position.
Fractional positions:
Tb  0.5988  0.5988  0.2037  3 Th 3.56, 6 Tb 3.59, 3 Sm 3.62
Tb  0.4012  0.4012  0.7963  3 Th 3.56, 6 Tb 3.59, 3 Sm 3.62
Th  0.8009  0.8009  0.5972  9 Th 3.51-3.59, 3 Tb 3.56
Th  0.1991  0.1991  0.4028  9 Th 3.51-3.59, 3 Tb 3.56
Sm  0.0000  0.0000  0.0000  6 Sm 3.59, 6 Tb 3.62

Properties
The value obtained for the formation energy is 16 meV per atom. The calculated density is 9536 kg/m³. The symmetry is R-3m (166). The distance to the lowest polymorph of the same formula comes out at 0.0 meV per atom.

---

No. 2
The following is a DFT calculation (PBE) of an optimized crystal structure of Tb5Sm12Th2.

Cell lengths 9.3737, 9.1739, 8.7535 Å; angles 87.73, 90.00, 120.72 degrees
Closest atoms and distances in Å follow each position.
Fractional positions:
Th  0.6665  0.0000  0.0000  1 Th 3.12, 4 Sm 3.39-3.45
Th  0.3335  0.0000  0.0000  1 Th 3.12, 4 Sm 3.39-3.45
Tb  0.0000  0.0000  0.5000  10 Sm 3.45-3.82, 2 Tb 3.69
Tb  0.7673  0.5346  0.5668  7 Sm 3.35-3.64, 2 Tb 3.55-3.69
Tb  0.7068  0.4136  0.9628  8 Sm 3.53-3.81, 1 Tb 3.55, 2 Th 3.62
Tb  0.2932  0.5864  0.0372  8 Sm 3.53-3.81, 1 Tb 3.55, 2 Th 3.62
Tb  0.2327  0.4654  0.4332  7 Sm 3.35-3.64, 2 Tb 3.55-3.69
Sm  0.4409  0.8818  0.3399  2 Tb 3.35-3.61, 7 Sm 3.44-3.66, 2 Th 3.45
Sm  0.0724  0.1449  0.1215  3 Sm 3.19-3.47, 2 Tb 3.45-3.53, 2 Th 3.51
Sm  0.4345  0.2623  0.3169  4 Tb 3.44-3.82, 5 Sm 3.47-3.69, 1 Th 3.55
Sm  0.1722  0.7377  0.6831  4 Tb 3.44-3.82, 5 Sm 3.47-3.69, 1 Th 3.55
Sm  0.5591  0.1182  0.6601  2 Tb 3.35-3.61, 7 Sm 3.44-3.66, 2 Th 3.45
Sm  0.6728  0.7042  0.2405  4 Sm 3.36-3.73, 1 Th 3.39, 3 Tb 3.52-3.73
Sm  0.5655  0.7377  0.6831  4 Tb 3.44-3.82, 5 Sm 3.47-3.69, 1 Th 3.55
Sm  0.9276  0.8551  0.8785  3 Sm 3.19-3.47, 2 Tb 3.45-3.53, 2 Th 3.51
Sm  0.8278  0.2623  0.3169  4 Tb 3.44-3.82, 5 Sm 3.47-3.69, 1 Th 3.55
Sm  0.3272  0.2958  0.7595  4 Sm 3.36-3.73, 1 Th 3.39, 3 Tb 3.52-3.73
Sm  0.0313  0.7042  0.2405  4 Sm 3.36-3.73, 1 Th 3.39, 3 Tb 3.52-3.73
Sm  0.9687  0.2958  0.7595  4 Sm 3.36-3.73, 1 Th 3.39, 3 Tb 3.52-3.73

Properties
The value obtained for the formation energy is 147 meV per atom. The calculated density is 7869 kg/m³. The symmetry is C2/m (12). The distance to the lowest polymorph of the same formula comes out at 0.0 meV per atom.

---

No. 3
The following is a DFT calculation (PBE) of an optimized crystal structure of Tb4Sm3Th.

Cell lengths 3.4383, 8.9526, 8.9526 Å; angles 81.34, 78.93, 78.93 degrees
Closest atoms and distances in Å follow each position.
Fractional positions:
Tb  0.3670  0.3853  0.8807  5 Sm 3.39-3.79, 1 Th 3.42, 5 Tb 3.44-3.52
Tb  0.6330  0.6147  0.1193  5 Sm 3.39-3.79, 1 Th 3.42, 5 Tb 3.44-3.52
Tb  0.3670  0.8807  0.3853  5 Sm 3.39-3.79, 1 Th 3.42, 5 Tb 3.44-3.52
Tb  0.6330  0.1193  0.6147  5 Sm 3.39-3.79, 1 Th 3.42, 5 Tb 3.44-3.52
Sm  0.2318  0.7682  0.7682  6 Tb 3.39-3.65, 2 Sm 3.44, 2 Th 3.50
Sm  0.7682  0.2318  0.2318  6 Tb 3.39-3.65, 2 Sm 3.44, 2 Th 3.50
Sm  0.0000  0.5000  0.5000  2 Sm 3.44, 8 Tb 3.79
Th  0.5000  0.0000  0.0000  4 Tb 3.42, 2 Th 3.44, 4 Sm 3.50

Properties
The value obtained for the formation energy is 140 meV per atom. The calculated density is 8309 kg/m³. The symmetry is Immm (71). The distance to the lowest polymorph of the same formula comes out at 97.5 meV per atom.

---

No. 4
The following is a DFT calculation (PBE) of an optimized crystal structure of Tb6SmTh3.

Cell lengths 9.9005, 9.9005, 6.9733 Å; angles 44.77, 44.77, 60.00 degrees
Closest atoms and distances in Å follow each position.
Fractional positions:
Tb  0.2699  0.9290  0.2038  2 Th 3.26-3.46, 1 Sm 3.47
Tb  0.4301  0.7712  0.6958  2 Th 3.26-3.46, 1 Sm 3.47
Tb  0.1029  0.4301  0.6958  2 Th 3.26-3.46, 1 Sm 3.47
Tb  0.5973  0.2699  0.2038  2 Th 3.26-3.46, 1 Sm 3.47
Tb  0.7712  0.1029  0.6958  2 Th 3.26-3.46, 1 Sm 3.47
Tb  0.9290  0.5973  0.2038  2 Th 3.26-3.46, 1 Sm 3.47
Th  0.3499  0.3499  0.9504  2 Th 3.01
Th  0.6015  0.6015  0.1956  1 Sm 2.98, 1 Th 3.01, 3 Tb 3.26
Th  0.0984  0.0984  0.7048  1 Sm 2.98, 1 Th 3.01, 3 Tb 3.26
Sm  0.8499  0.8499  0.4502  2 Th 2.98

Properties
The value obtained for the formation energy is 345 meV per atom. The calculated density is 8816 kg/m³. The symmetry is R-3 (148).